Record 1
Density functional theory data (PBE) for an optimized crystal structure of KY2Mo.

Geometry as POSCAR:
```
KY2Mo
1.0
0.000 3.781 3.781
3.781 0.000 3.781
3.781 3.781 0.000
K Y Mo
1 2 1
Cartesian
0.000 0.000 0.000
1.890 1.890 1.890
5.671 5.671 5.671
3.781 3.781 3.781
```

Summary:
Spin magnetization: 0.993 μB/cell
Polymorph energy (0 for the lowest one): 47.9 kJ/mol of atoms
SG: Fm-3m, No. 225
VASP energy: -5.3513 eV per atom
Mass density: 4.807 g/cm³
Formation energy from the elements: 0.863 eV/atom

---

Record 2
Density functional theory data (PBE) for an optimized crystal structure of KY2Mo.

Geometry as POSCAR:
```
KY2Mo
1.0
3.284 0.000 0.000
0.000 5.063 0.000
-1.329 0.000 8.355
K Y Mo
1 2 1
Cartesian
0.000 0.000 0.000
0.320 2.532 5.375
1.329 0.000 3.471
2.407 2.532 2.964
```

Summary:
Spin magnetization: 0.000 μB/cell
Polymorph energy (0 for the lowest one): 35.3 kJ/mol of atoms
SG: Pm, No. 6
VASP energy: -5.4819 eV per atom
Mass density: 3.739 g/cm³
Formation energy from the elements: 0.732 eV/atom

---

Record 3
Density functional theory data (PBE) for an optimized crystal structure of KY2Mo.

Geometry as POSCAR:
```
KY2Mo
1.0
-4.088 4.088 5.790
4.088 -4.088 5.790
4.088 4.088 -5.790
K Y Mo
2 4 2
Cartesian
0.000 0.000 0.000
0.000 4.088 2.895
2.044 4.082 -1.447
4.094 2.044 1.447
2.044 0.006 4.342
-0.006 2.044 7.237
4.088 0.000 2.895
0.000 0.000 5.790
```

Summary:
Spin magnetization: 0.000 μB/cell
Polymorph energy (0 for the lowest one): 65.4 kJ/mol of atoms
SG: I-42d, No. 122
VASP energy: -5.1708 eV per atom
Mass density: 2.685 g/cm³
Formation energy from the elements: 1.043 eV/atom

---

Record 4
Density functional theory data (PBE) for an optimized crystal structure of KY2Mo.

Geometry as POSCAR:
```
KY2Mo
1.0
3.625 -4.439 0.000
3.625 4.439 0.000
0.000 0.000 3.379
K Y Mo
1 2 1
Cartesian
0.000 0.000 0.000
1.812 2.219 1.690
1.812 -2.219 1.690
3.625 0.000 0.000
```

Summary:
Spin magnetization: 0.000 μB/cell
Polymorph energy (0 for the lowest one): 59.5 kJ/mol of atoms
SG: Cmmm, No. 65
VASP energy: -5.2313 eV per atom
Mass density: 4.778 g/cm³
Formation energy from the elements: 0.983 eV/atom

---

Record 5
Density functional theory data (PBE) for an optimized crystal structure of KY2Mo.

Geometry as POSCAR:
```
KY2Mo
1.0
1.707 0.985 11.949
-1.707 0.985 11.949
0.000 -1.971 11.949
K Y Mo
1 2 1
Cartesian
0.000 0.000 0.000
0.000 0.000 8.235
0.000 0.000 17.069
0.000 0.000 26.861
```

Summary:
Spin magnetization: 1.173 μB/cell
Polymorph energy (0 for the lowest one): 43.2 kJ/mol of atoms
SG: R3m, No. 160
VASP energy: -5.4005 eV per atom
Mass density: 4.308 g/cm³
Formation energy from the elements: 0.814 eV/atom

---

Record 6
Density functional theory data (PBE) for an optimized crystal structure of KY2Mo.

Geometry as POSCAR:
```
KY2Mo
1.0
1.891 -2.625 0.000
1.891 2.625 0.000
0.000 0.000 11.835
K Y Mo
1 2 1
Cartesian
0.000 0.000 0.000
0.000 0.000 5.070
1.891 0.000 8.147
1.891 0.000 2.964
```

Summary:
Spin magnetization: 0.000 μB/cell
Polymorph energy (0 for the lowest one): 39.4 kJ/mol of atoms
SG: Cmm2, No. 35
VASP energy: -5.4394 eV per atom
Mass density: 4.422 g/cm³
Formation energy from the elements: 0.775 eV/atom

---

Record 7
Density functional theory data (PBE) for an optimized crystal structure of KY2Mo.

Geometry as POSCAR:
```
KY2Mo
1.0
3.583 -5.051 0.000
3.583 5.051 0.000
-1.011 0.000 2.993
K Y Mo
1 2 1
Cartesian
0.000 0.000 0.000
1.286 2.525 1.496
1.286 -2.525 1.496
3.583 0.000 0.000
```

Summary:
Spin magnetization: 0.001 μB/cell
Polymorph energy (0 for the lowest one): 62.9 kJ/mol of atoms
SG: C2/m, No. 12
VASP energy: -5.1959 eV per atom
Mass density: 4.795 g/cm³
Formation energy from the elements: 1.018 eV/atom

---

Record 8
Density functional theory data (PBE) for an optimized crystal structure of KYMo.

Geometry as POSCAR:
```
KYMo
1.0
-1.566 1.566 8.827
1.566 -1.566 8.827
1.566 1.566 -8.827
K Y Mo
1 1 1
Cartesian
0.000 0.000 0.000
0.000 0.000 5.043
0.000 0.000 11.792
```

Summary:
Spin magnetization: 0.000 μB/cell
Polymorph energy (0 for the lowest one): 0.9 kJ/mol of atoms
SG: I4mm, No. 107
VASP energy: -5.2069 eV per atom
Mass density: 4.292 g/cm³
Formation energy from the elements: 0.924 eV/atom

---

Record 9
Density functional theory data (PBE) for an optimized crystal structure of KY2Mo.

Geometry as POSCAR:
```
KY2Mo
1.0
-1.722 3.255 5.619
1.722 -3.255 5.619
1.722 3.255 -5.619
K Y Mo
1 2 1
Cartesian
0.000 0.000 0.000
1.722 0.000 3.394
0.000 3.255 2.225
0.000 0.000 5.619
```

Summary:
Spin magnetization: 0.574 μB/cell
Polymorph energy (0 for the lowest one): 42.6 kJ/mol of atoms
SG: Immm, No. 71
VASP energy: -5.4061 eV per atom
Mass density: 4.124 g/cm³
Formation energy from the elements: 0.808 eV/atom

---

Record 10
Density functional theory data (PBE) for an optimized crystal structure of KY2Mo.

Geometry as POSCAR:
```
KY2Mo
1.0
4.081 -1.732 0.000
4.081 1.732 0.000
-0.927 0.000 9.893
K Y Mo
1 2 1
Cartesian
0.000 0.000 0.000
1.221 0.000 6.497
6.014 0.000 3.397
3.617 0.000 4.947
```

Summary:
Spin magnetization: 0.002 μB/cell
Polymorph energy (0 for the lowest one): 22.5 kJ/mol of atoms
SG: C2/m, No. 12
VASP energy: -5.6149 eV per atom
Mass density: 3.714 g/cm³
Formation energy from the elements: 0.599 eV/atom

---

Record 11
Density functional theory data (PBE) for an optimized crystal structure of KYMo.

Geometry as POSCAR:
```
KYMo
1.0
3.305 0.000 0.000
-1.652 2.862 0.000
0.000 0.000 8.991
K Y Mo
1 1 1
Cartesian
0.000 0.000 0.000
0.000 1.908 5.194
1.652 0.954 2.964
```

Summary:
Spin magnetization: 0.264 μB/cell
Polymorph energy (0 for the lowest one): 8.5 kJ/mol of atoms
SG: P3m1, No. 156
VASP energy: -5.1283 eV per atom
Mass density: 4.373 g/cm³
Formation energy from the elements: 1.003 eV/atom

---

Record 12
Density functional theory data (PBE) for an optimized crystal structure of KYMo.

Geometry as POSCAR:
```
KYMo
1.0
-1.522 2.258 6.713
1.522 -2.258 6.713
1.522 2.258 -6.713
K Y Mo
1 1 1
Cartesian
0.000 0.000 0.000
0.000 0.000 9.734
0.000 0.000 4.114
```

Summary:
Spin magnetization: 0.000 μB/cell
Polymorph energy (0 for the lowest one): 12.9 kJ/mol of atoms
SG: Imm2, No. 44
VASP energy: -5.0822 eV per atom
Mass density: 4.029 g/cm³
Formation energy from the elements: 1.049 eV/atom

---

Record 13
Density functional theory data (PBE) for an optimized crystal structure of KY3Mo.

Geometry as POSCAR:
```
KY3Mo
1.0
5.594 0.000 0.000
0.000 5.594 0.000
0.000 0.000 5.594
K Y Mo
1 3 1
Cartesian
0.000 0.000 0.000
0.000 2.797 2.797
2.797 0.000 2.797
2.797 2.797 0.000
2.797 2.797 2.797
```

Summary:
Spin magnetization: 0.002 μB/cell
Polymorph energy (0 for the lowest one): 0.0 kJ/mol of atoms
SG: Pm-3m, No. 221
VASP energy: -5.7767 eV per atom
Mass density: 3.811 g/cm³
Formation energy from the elements: 0.487 eV/atom

---

Record 14
Density functional theory data (PBE) for an optimized crystal structure of KY2Mo.

Geometry as POSCAR:
```
KY2Mo
1.0
0.000 3.863 3.863
3.863 0.000 3.863
3.863 3.863 0.000
K Y Mo
1 2 1
Cartesian
0.000 0.000 0.000
1.931 1.931 1.931
3.863 3.863 3.863
5.794 5.794 5.794
```

Summary:
Spin magnetization: 2.106 μB/cell
Polymorph energy (0 for the lowest one): 72.4 kJ/mol of atoms
SG: F-43m, No. 216
VASP energy: -5.0980 eV per atom
Mass density: 4.507 g/cm³
Formation energy from the elements: 1.116 eV/atom

---

Record 15
Density functional theory data (PBE) for an optimized crystal structure of KYMo.

Geometry as POSCAR:
```
KYMo
1.0
0.000 2.465 8.822
1.984 0.000 8.822
1.984 2.465 0.000
K Y Mo
1 1 1
Cartesian
0.000 0.000 0.000
1.984 2.465 12.630
1.984 2.465 5.868
```

Summary:
Spin magnetization: 0.002 μB/cell
Polymorph energy (0 for the lowest one): 0.0 kJ/mol of atoms
SG: Fmm2, No. 42
VASP energy: -5.2164 eV per atom
Mass density: 4.310 g/cm³
Formation energy from the elements: 0.915 eV/atom

---

Record 16
Density functional theory data (PBE) for an optimized crystal structure of KYMo3.

Geometry as POSCAR:
```
KYMo3
1.0
5.046 0.000 0.000
0.000 5.046 0.000
0.000 0.000 5.046
K Y Mo
1 1 3
Cartesian
0.000 0.000 0.000
2.523 2.523 2.523
0.000 2.523 2.523
2.523 0.000 2.523
2.523 2.523 0.000
```

Summary:
Spin magnetization: 0.000 μB/cell
Polymorph energy (0 for the lowest one): 0.0 kJ/mol of atoms
SG: Pm-3m, No. 221
VASP energy: -5.4814 eV per atom
Mass density: 5.374 g/cm³
Formation energy from the elements: 2.530 eV/atom

---

Record 17
Density functional theory data (PBE) for an optimized crystal structure of KY2Mo.

Geometry as POSCAR:
```
KY2Mo
1.0
-1.664 2.442 8.928
1.664 -2.442 8.928
1.664 2.442 -8.928
K Y Mo
1 2 1
Cartesian
0.000 0.000 0.000
0.000 0.000 5.698
0.000 2.442 3.243
1.664 0.000 3.342
```

Summary:
Spin magnetization: 0.000 μB/cell
Polymorph energy (0 for the lowest one): 32.7 kJ/mol of atoms
SG: Imm2, No. 44
VASP energy: -5.5093 eV per atom
Mass density: 3.579 g/cm³
Formation energy from the elements: 0.705 eV/atom

---

Record 18
Density functional theory data (PBE) for an optimized crystal structure of KY2Mo.

Geometry as POSCAR:
```
KY2Mo
1.0
3.859 0.000 0.000
0.000 3.859 0.000
0.000 0.000 9.091
K Y Mo
1 2 1
Cartesian
0.000 0.000 0.000
0.000 0.000 3.631
1.930 1.930 5.679
1.930 1.930 2.714
```

Summary:
Spin magnetization: 0.003 μB/cell
Polymorph energy (0 for the lowest one): 33.3 kJ/mol of atoms
SG: P4mm, No. 99
VASP energy: -5.5028 eV per atom
Mass density: 3.837 g/cm³
Formation energy from the elements: 0.711 eV/atom

---

Record 19
Density functional theory data (PBE) for an optimized crystal structure of KZnMo2.

Geometry as POSCAR:
```
KZnMo2
1.0
1.629 -2.320 0.000
1.629 2.320 0.000
0.000 0.000 10.300
K Zn Mo
1 1 2
Cartesian
0.000 0.000 0.000
1.629 0.000 2.944
0.000 0.000 5.158
1.629 0.000 7.182
```

Summary:
Spin magnetization: 0.000 μB/cell
SG: Cmm2, No. 35
VASP energy: -5.4028 eV per atom
Mass density: 6.320 g/cm³
Formation energy from the elements: 0.606 eV/atom

---

Record 20
Density functional theory data (PBE) for an optimized crystal structure of K2ZnMo.

Geometry as POSCAR:
```
K2ZnMo
1.0
1.509 0.871 12.280
-1.509 0.871 12.280
0.000 -1.742 12.280
K Zn Mo
2 1 1
Cartesian
0.000 0.000 9.179
0.000 0.000 27.662
0.000 0.000 0.000
0.000 0.000 18.421
```

Summary:
Spin magnetization: 0.403 μB/cell
SG: R-3m, No. 166
VASP energy: -2.4700 eV per atom
Mass density: 4.107 g/cm³
Formation energy from the elements: 1.105 eV/atom

---

Record 21
Density functional theory data (PBE) for an optimized crystal structure of KZnMo2.

Geometry as POSCAR:
```
KZnMo2
1.0
2.693 0.000 0.000
0.000 2.693 0.000
0.000 0.000 10.480
K Zn Mo
1 1 2
Cartesian
0.000 0.000 0.000
1.346 1.346 7.568
0.000 0.000 5.481
1.346 1.346 3.178
```

Summary:
Spin magnetization: 0.000 μB/cell
SG: P4mm, No. 99
VASP energy: -5.2906 eV per atom
Mass density: 6.477 g/cm³
Formation energy from the elements: 0.718 eV/atom

---

Record 22
Density functional theory data (PBE) for an optimized crystal structure of KZnMo2.

Geometry as POSCAR:
```
KZnMo2
1.0
3.236 0.000 0.000
0.000 3.236 0.000
0.000 0.000 8.398
K Zn Mo
1 1 2
Cartesian
0.000 0.000 0.000
1.618 1.618 5.750
0.000 0.000 4.208
1.618 1.618 2.953
```

Summary:
Spin magnetization: 0.000 μB/cell
SG: P4mm, No. 99
VASP energy: -5.4501 eV per atom
Mass density: 5.598 g/cm³
Formation energy from the elements: 0.558 eV/atom

---

Record 23
Density functional theory data (PBE) for an optimized crystal structure of KZnMo2.

Geometry as POSCAR:
```
KZnMo2
1.0
4.448 -1.319 0.000
4.448 1.319 0.000
-0.183 0.000 7.610
K Zn Mo
1 1 2
Cartesian
0.000 0.000 0.000
6.633 0.000 2.533
2.004 0.000 5.006
4.228 0.000 3.822
```

Summary:
Spin magnetization: 0.000 μB/cell
SG: Cm, No. 8
VASP energy: -5.2507 eV per atom
Mass density: 5.513 g/cm³
Formation energy from the elements: 0.758 eV/atom

---

Record 24
Density functional theory data (PBE) for an optimized crystal structure of KZnMo2.

Geometry as POSCAR:
```
KZnMo2
1.0
2.678 0.000 0.000
0.000 2.678 0.000
0.000 0.000 10.478
K Zn Mo
1 1 2
Cartesian
0.000 0.000 0.000
0.000 0.000 5.239
1.339 1.339 3.138
1.339 1.339 7.340
```

Summary:
Spin magnetization: 0.001 μB/cell
SG: P4/mmm, No. 123
VASP energy: -5.1647 eV per atom
Mass density: 6.550 g/cm³
Formation energy from the elements: 0.844 eV/atom

---

Record 25
Density functional theory data (PBE) for an optimized crystal structure of K2ZnMo.

Geometry as POSCAR:
```
K2ZnMo
1.0
1.757 -2.293 0.000
1.757 2.293 0.000
0.000 0.000 12.111
K Zn Mo
2 1 1
Cartesian
0.000 0.000 2.991
0.000 0.000 9.120
1.757 0.000 6.056
1.757 0.000 0.000
```

Summary:
Spin magnetization: 0.209 μB/cell
SG: Cmmm, No. 65
VASP energy: -2.5019 eV per atom
Mass density: 4.075 g/cm³
Formation energy from the elements: 1.073 eV/atom

---

Record 26
Density functional theory data (PBE) for an optimized crystal structure of K2ZnMo.

Geometry as POSCAR:
```
K2ZnMo
1.0
-6.049 6.049 2.574
6.049 -6.049 2.574
6.049 6.049 -2.574
K Zn Mo
4 2 2
Cartesian
1.167 3.025 0.644
-3.025 4.882 1.931
-1.167 9.074 0.644
3.025 7.216 1.931
0.000 0.000 0.000
0.000 6.049 1.287
6.049 0.000 1.287
0.000 0.000 2.574
```

Summary:
Spin magnetization: 7.976 μB/cell
SG: I-42d, No. 122
VASP energy: -2.4635 eV per atom
Mass density: 2.111 g/cm³
Formation energy from the elements: 1.111 eV/atom

---

Record 27
Density functional theory data (PBE) for an optimized crystal structure of K3ZnMo.

Geometry as POSCAR:
```
K3ZnMo
1.0
6.386 0.000 0.000
0.000 6.386 0.000
0.000 0.000 6.386
K Zn Mo
3 1 1
Cartesian
0.000 0.000 3.193
0.000 3.193 0.000
3.193 0.000 0.000
0.000 0.000 0.000
3.193 3.193 3.193
```

Summary:
Spin magnetization: 5.389 μB/cell
Polymorph energy (0 for the lowest one): 0.0 kJ/mol of atoms
SG: Pm-3m, No. 221
VASP energy: -1.9192 eV per atom
Mass density: 1.777 g/cm³
Formation energy from the elements: 1.160 eV/atom

---

Record 28
Density functional theory data (PBE) for an optimized crystal structure of KZnMo2.

Geometry as POSCAR:
```
KZnMo2
1.0
6.310 -1.314 0.000
6.310 1.314 0.000
-2.065 0.000 4.676
K Zn Mo
1 1 2
Cartesian
0.000 0.000 0.000
5.277 0.000 2.338
1.215 0.000 3.334
9.339 0.000 1.342
```

Summary:
Spin magnetization: 0.000 μB/cell
SG: C2/m, No. 12
VASP energy: -5.1491 eV per atom
Mass density: 6.349 g/cm³
Formation energy from the elements: 0.859 eV/atom

---

Record 29
Density functional theory data (PBE) for an optimized crystal structure of KZnMo2.

Geometry as POSCAR:
```
KZnMo2
1.0
2.636 0.000 0.000
0.000 5.233 0.000
0.000 0.000 5.576
K Zn Mo
1 1 2
Cartesian
0.000 0.000 0.000
1.318 2.617 0.000
0.000 2.617 2.788
1.318 0.000 2.788
```

Summary:
Spin magnetization: 0.515 μB/cell
SG: Pmmm, No. 47
VASP energy: -4.8527 eV per atom
Mass density: 6.399 g/cm³
Formation energy from the elements: 1.156 eV/atom

---

Record 30
Density functional theory data (PBE) for an optimized crystal structure of KZnMo2.

Geometry as POSCAR:
```
KZnMo2
1.0
2.810 0.000 0.000
0.000 3.893 0.000
-0.929 0.000 8.133
K Zn Mo
1 1 2
Cartesian
0.000 0.000 0.000
0.493 1.947 5.528
1.032 1.947 2.826
1.883 0.000 4.144
```

Summary:
Spin magnetization: 0.000 μB/cell
SG: Pm, No. 6
VASP energy: -5.4038 eV per atom
Mass density: 5.531 g/cm³
Formation energy from the elements: 0.605 eV/atom